Record 1
DFT (PBE) results for crystalline RbNb2TcBr at its relaxed geometry.

Summary:
DOS at the Fermi energy   1.361 states/eV per atom
Space group   P4/mmm, No. 123
Volume   149.6 Å³/cell
Raw formation energy   4.7 eV/f.u.

Cell: 4.820 4.820 6.439 Å, 90.00 90.00 90.00°
Element x y z (fractional)
1 Rb 0.000 0.000 0.000
2 Nb 0.000 0.500 0.500
3 Nb 0.500 0.000 0.500
4 Tc 0.500 0.500 0.500
5 Br 0.500 0.500 0.000

***

Record 2
DFT (PBE) results for crystalline HoEr6Ni2 at its relaxed geometry.

Summary:
DOS at the Fermi energy   1.505 states/eV per atom
DFT formation energy   -0.14 eV per atom
Space group   Immm, No. 71
Volume   462.8 Å³/cell

Cell: 8.465 8.465 8.465 Å, 115.61 107.43 105.56°
Element x y z (fractional)
1 Ho 0.000 0.000 0.000
2 Ho 0.500 0.500 0.000
3 Er 0.008 0.226 0.782
4 Er 0.191 0.302 0.492
5 Er 0.191 0.698 0.889
6 Er 0.312 0.007 0.696
7 Er 0.312 0.616 0.304
8 Er 0.444 0.226 0.218
9 Er 0.556 0.774 0.782
10 Er 0.688 0.384 0.696
11 Er 0.688 0.993 0.304
12 Er 0.809 0.302 0.111
13 Er 0.809 0.698 0.508
14 Er 0.992 0.774 0.218
15 Ni 0.120 0.620 0.500
16 Ni 0.364 0.000 0.364
17 Ni 0.636 0.000 0.636
18 Ni 0.880 0.380 0.500

***

Among the records above, which one has the highest volume?
HoEr6Ni2

***

Look up the volume of the first one.
149.6 Å³/cell

***

Number 2 is which compound?
HoEr6Ni2